# Ce2Pr3ErSe6, optimized geometry, DFT PBE
# * total moment: 3.655 Bohr magnetons per cell
# * energy relative to the elements, uncorrected: -1.82 eV/atom
# * N(E_F): 1.24 states/eV/atom
data_Ce2Pr3ErSe6
_cell_length_a 7.2662
_cell_length_b 12.6047
_cell_length_c 7.3129
_cell_angle_alpha 90.00
_cell_angle_beta 109.43
_cell_angle_gamma 90.00
_space_group_name_H-M_alt 'C 1 2/m 1'
_space_group_IT_number 12
loop_
_space_group_symop_operation_xyz
'x,y,z'
'-x,-y,-z'
'-x,y,-z'
'x,-y,z'
'x+1/2,y+1/2,z'
'-x+1/2,-y+1/2,-z'
'-x+1/2,y+1/2,-z'
'x+1/2,-y+1/2,z'
loop_
_atom_site_label
_atom_site_fract_x
_atom_site_fract_y
_atom_site_fract_z
Ce1 0.0000 0.1659 0.0000
Pr1 0.0000 0.0000 0.5000
Pr2 0.0000 0.3310 0.5000
Er1 0.0000 0.5000 0.0000
Se1 0.2418 0.3372 0.2384
Se2 0.2444 0.5000 0.7584